VCr2PbO6 | PBE with a Hubbard U | optimized geometry

## Properties
DFT total energy, eV per atom: -7.2854

Unit cell a=5.322 b=5.337 c=5.622 alpha=61.85 beta=62.38 gamma=60.49
Space group P1 (No. 1)
One atom of each set of equivalent atoms:
V: 0.000 0.000 0.000 (multiplicity 1)
Cr: 0.201 0.195 0.395 (multiplicity 1)
Cr: 0.690 0.679 0.930 (multiplicity 1)
Pb: 0.472 0.454 0.612 (multiplicity 1)
O: 0.008 0.393 0.713 (multiplicity 1)
O: 0.277 0.939 0.167 (multiplicity 1)
O: 0.408 0.868 0.704 (multiplicity 1)
O: 0.590 0.280 0.161 (multiplicity 1)
O: 0.881 0.997 0.715 (multiplicity 1)
O: 0.928 0.583 0.183 (multiplicity 1)